Entry 1:
Compound: EuInAs2
Source: Alexandria
Functional: PBE
Structure: relaxed

Output
Symmetry ... R-3m
Energy above the most stable polymorph in this dataset ... 14 meV/atom
Size of the total moment ... 6.44 Bohr magnetons per cell

```
EuInAs2
1.0
2.120 1.224 6.592
-2.120 1.224 6.592
0.000 -2.448 6.592
Eu In As
1 1 2
direct
0.000 0.000 0.000
0.500 0.500 0.500
0.244 0.244 0.244
0.756 0.756 0.756
```



Entry 2:
Compound: EuIn2As
Source: Alexandria
Functional: PBE
Structure: relaxed

Output
Symmetry ... R-3m
Energy above the most stable polymorph in this dataset ... 510 meV/atom
Size of the total moment ... 8.02 Bohr magnetons per cell

```
EuIn2As
1.0
2.032 1.173 9.882
-2.032 1.173 9.882
0.000 -2.346 9.882
Eu In As
1 2 1
direct
0.000 0.000 0.000
0.113 0.113 0.113
0.887 0.887 0.887
0.500 0.500 0.500
```



| no. | D(E_F) (states/eV/cell) | formation energy (eV per atom) |
| --- | --- | --- |
| 1 | 5.78 | -0.51 |
| 2 | 10.38 | 0.02 |